Record 1
# LiTa2Tc, optimized geometry, DFT PBE
# ΔH_f (0 K) (eV/atom): 0.1498
# E_tot (eV/atom): -8.847
# Crystal system: monoclinic
# V (Å³/cell): 64.8
data_LiTa2Tc
_chemical_formula_sum 'Li1 Ta2 Tc1'
_cell_length_a 2.744
_cell_length_b 4.520
_cell_length_c 5.308
_cell_angle_alpha 90.00
_cell_angle_beta 100.04
_cell_angle_gamma 90.00
_symmetry_space_group_name_H-M 'P 1 m 1'
_symmetry_Int_Tables_number 6
loop_
_symmetry_equiv_pos_as_xyz
'x,y,z'
'x,-y,z'
loop_
_atom_site_label
_atom_site_type_symbol
_atom_site_fract_x
_atom_site_fract_y
_atom_site_fract_z
Li1 Li 0.000 0.000 0.000
Ta1 Ta 0.403 0.000 0.521
Ta2 Ta 0.719 0.500 0.241
Tc1 Tc 0.178 0.500 0.742


Record 2
# LiTaTc2, optimized geometry, DFT PBE
# Polymorph energy (0 for the lowest one) (meV/atom): 51.8
# ΔH_f (0 K) (eV/atom): 0.1467
# E_tot (eV/atom): -8.478
# Crystal system: orthorhombic
# V (Å³/cell): 119.8
data_LiTaTc2
_chemical_formula_sum 'Li2 Ta2 Tc4'
_cell_length_a 3.133
_cell_length_b 4.477
_cell_length_c 8.543
_cell_angle_alpha 90.00
_cell_angle_beta 90.00
_cell_angle_gamma 90.00
_symmetry_space_group_name_H-M 'I m m m'
_symmetry_Int_Tables_number 71
_symmetry_space_group_name_Hall '-I 2 2'
loop_
_atom_site_label
_atom_site_type_symbol
_atom_site_fract_x
_atom_site_fract_y
_atom_site_fract_z
Li1 Li 0.000 0.000 0.000
Ta1 Ta 0.000 0.000 0.500
Tc1 Tc 0.000 0.500 0.246


Record 3
# LiTaTc2, optimized geometry, DFT PBE
# Polymorph energy (0 for the lowest one) (meV/atom): 109.1
# ΔH_f (0 K) (eV/atom): 0.2039
# E_tot (eV/atom): -8.421
# Crystal system: tetragonal
# V (Å³/cell): 58.7
data_LiTaTc2
_chemical_formula_sum 'Li1 Ta1 Tc2'
_cell_length_a 3.225
_cell_length_b 3.225
_cell_length_c 5.644
_cell_angle_alpha 90.00
_cell_angle_beta 90.00
_cell_angle_gamma 90.00
_symmetry_space_group_name_H-M 'P 4 m m'
_symmetry_Int_Tables_number 99
loop_
_symmetry_equiv_pos_as_xyz
'x,y,z'
'-y,x,z'
'-x,-y,z'
'y,-x,z'
'-x,y,z'
'y,x,z'
'x,-y,z'
'-y,-x,z'
loop_
_atom_site_label
_atom_site_type_symbol
_atom_site_fract_x
_atom_site_fract_y
_atom_site_fract_z
Li1 Li 0.000 0.000 0.000
Ta1 Ta 0.500 0.500 0.254
Tc1 Tc 0.000 0.000 0.520
Tc2 Tc 0.500 0.500 0.780


Record 4
# LiTaTc2, optimized geometry, DFT PBE
# Polymorph energy (0 for the lowest one) (meV/atom): 6.7
# ΔH_f (0 K) (eV/atom): 0.1015
# E_tot (eV/atom): -8.523
# Crystal system: tetragonal
# V (Å³/cell): 58.6
data_LiTaTc2
_chemical_formula_sum 'Li1 Ta1 Tc2'
_cell_length_a 3.233
_cell_length_b 3.233
_cell_length_c 5.603
_cell_angle_alpha 90.00
_cell_angle_beta 90.00
_cell_angle_gamma 90.00
_symmetry_space_group_name_H-M 'P 4/m m m'
_symmetry_Int_Tables_number 123
_symmetry_space_group_name_Hall '-P 4 2'
loop_
_atom_site_label
_atom_site_type_symbol
_atom_site_fract_x
_atom_site_fract_y
_atom_site_fract_z
Li1 Li 0.000 0.000 0.000
Ta1 Ta 0.000 0.000 0.500
Tc1 Tc 0.500 0.500 0.225


> The lowest V belongs to which entry?

number 4